VASP calculation (GGA+U) on a geometry-optimized ScCo2F structure.

Properties
crystal system = cubic
calculated density = 4.6 Mg/m³
volume = 66.12 Å³ per cell
calculated total energy = -17.46 eV for the cell shown
energy above the most stable polymorph in this dataset = 828 meV per atom
space-group type = Fm-3m, No. 225

a = 4.5389 Å, b = 4.5389 Å, c = 4.5389 Å
α = 60.00°, β = 60.00°, γ = 60.00°
With the nearest neighbours (Å) after each atom.
Atoms (fractional coordinates):
Co  0.2500  0.2500  0.2500  4 Sc 2.78, 4 F 2.78
Co  0.7500  0.7500  0.7500  4 F 2.78, 4 Sc 2.78
F  0.0000  0.0000  0.0000  8 Co 2.78
Sc  0.5000  0.5000  0.5000  8 Co 2.78